No. 1
An optimized crystal structure of CaBI2O, computed with PBE.

abc: 6.1518 6.1518 4.3144
angles: 90.00 90.00 90.00
With the nearest neighbours (Å) after each atom.
Fractional positions:
Ca: 0.0000 0.0000 0.0000  2 O 2.16
B: 0.5000 0.5000 0.5000  8 I 3.76
I: 0.0000 0.5000 0.0000  2 Ca 3.08
I: 0.5000 0.0000 0.0000  2 Ca 3.08
O: 0.0000 0.0000 0.5000  2 Ca 2.16

## Properties
As for the crystal system: tetragonal. The calculation puts the relative energy among the computed polymorphs at 0.524 eV/atom. For the raw formation energy, the calculation gives 226 meV/atom.



No. 2
An optimized crystal structure of CaBOsI2, computed with PBE.

abc: 5.5809 5.5809 4.0354
angles: 90.00 90.00 90.00
With the nearest neighbours (Å) after each atom.
Fractional positions:
Ca: 0.0000 0.0000 0.0000  8 I 3.44
B: 0.5000 0.5000 0.0000  2 Os 2.02
Os: 0.5000 0.5000 0.5000  2 B 2.02
I: 0.0000 0.5000 0.5000  2 Os 2.79
I: 0.5000 0.0000 0.5000  2 Os 2.79

## Properties
As for the crystal system: tetragonal. For the raw formation energy, the calculation gives 218 meV/atom.



No. 3
An optimized crystal structure of Ca2BOsI, computed with PBE.

abc: 5.4348 5.4348 4.0119
angles: 90.00 90.00 90.00
With the nearest neighbours (Å) after each atom.
Fractional positions:
Ca: 0.0000 0.5000 0.0000  2 B 2.72
Ca: 0.5000 0.0000 0.0000  2 B 2.72
B: 0.0000 0.0000 0.0000  2 Os 2.01
Os: 0.0000 0.0000 0.5000  2 B 2.01
I: 0.5000 0.5000 0.5000  8 Ca 3.38

## Properties
As for the crystal system: tetragonal. For the raw formation energy, the calculation gives -163 meV/atom.



No. 4
An optimized crystal structure of CaBPb2I, computed with PBE.

abc: 6.2393 6.2393 4.6447
angles: 90.00 90.00 90.00
With the nearest neighbours (Å) after each atom.
Fractional positions:
Ca: 0.0000 0.0000 0.0000  2 B 2.32
B: 0.0000 0.0000 0.5000  2 Ca 2.32
Pb: 0.0000 0.5000 0.0000  2 Ca 3.12
Pb: 0.5000 0.0000 0.0000  2 Ca 3.12
I: 0.5000 0.5000 0.5000  8 Pb 3.89

## Properties
As for the crystal system: tetragonal. For the raw formation energy, the calculation gives 1027 meV/atom.



No. 5
An optimized crystal structure of Rb2CaBI6, computed with PBE.

abc: 8.2587 8.2587 8.2587
angles: 60.00 60.00 60.00
With the nearest neighbours (Å) after each atom.
Fractional positions:
Rb: 0.2500 0.2500 0.2500  12 I 4.13
Rb: 0.7500 0.7500 0.7500  12 I 4.13
Ca: 0.0000 0.0000 0.0000  6 I 3.12
B: 0.5000 0.5000 0.5000  6 I 2.72
I: 0.2670 0.2670 0.7330  1 B 2.72
I: 0.2670 0.7330 0.2670  1 B 2.72
I: 0.2670 0.7330 0.7330  1 B 2.72
I: 0.7330 0.2670 0.2670  1 B 2.72
I: 0.7330 0.2670 0.7330  1 B 2.72
I: 0.7330 0.7330 0.2670  1 B 2.72

## Properties
As for the crystal system: cubic. For the raw formation energy, the calculation gives -699 meV/atom.



No. 6
An optimized crystal structure of Ca2BRuI, computed with PBE.

abc: 5.4775 5.4775 3.9437
angles: 90.00 90.00 90.00
With the nearest neighbours (Å) after each atom.
Fractional positions:
Ca: 0.0000 0.5000 0.0000  2 B 2.74
Ca: 0.5000 0.0000 0.0000  2 B 2.74
B: 0.0000 0.0000 0.0000  2 Ru 1.97
Ru: 0.0000 0.0000 0.5000  2 B 1.97
I: 0.5000 0.5000 0.5000  8 Ca 3.37

## Properties
As for the crystal system: tetragonal. For the raw formation energy, the calculation gives -241 meV/atom.



No. 7
An optimized crystal structure of CaTaBI2, computed with PBE.

abc: 5.2757 5.2757 4.4379
angles: 90.00 90.00 90.00
With the nearest neighbours (Å) after each atom.
Fractional positions:
Ca: 0.0000 0.0000 0.0000  8 I 3.45, 4 Ta 3.73
Ta: 0.5000 0.5000 0.0000  2 B 2.22
B: 0.5000 0.5000 0.5000  2 Ta 2.22
I: 0.0000 0.5000 0.5000  2 B 2.64
I: 0.5000 0.0000 0.5000  2 B 2.64

## Properties
As for the crystal system: tetragonal. For the raw formation energy, the calculation gives 682 meV/atom.



No. 8
An optimized crystal structure of CaBTe2I, computed with PBE.

abc: 4.8975 4.8975 5.7372
angles: 90.00 90.00 90.00
With the nearest neighbours (Å) after each atom.
Fractional positions:
Ca: 0.0000 0.0000 0.0000  4 I 3.46, 8 Te 3.77
B: 0.5000 0.5000 0.5000  4 Te 2.45
Te: 0.0000 0.5000 0.5000  2 B 2.45
Te: 0.5000 0.0000 0.5000  2 B 2.45
I: 0.5000 0.5000 0.0000  2 B 2.87

## Properties
As for the crystal system: tetragonal. The calculation puts the relative energy among the computed polymorphs at 0.000 eV/atom. For the raw formation energy, the calculation gives 4 meV/atom.



No. 9
An optimized crystal structure of CaBTeI2, computed with PBE.

abc: 6.0336 6.0336 6.1430
angles: 90.00 90.00 90.00
With the nearest neighbours (Å) after each atom.
Fractional positions:
Ca: 0.0000 0.0000 0.0000  4 I 3.02, 2 Te 3.07
B: 0.5000 0.5000 0.5000  4 Te 4.27, 8 I 4.31
Te: 0.0000 0.0000 0.5000  2 Ca 3.07
I: 0.0000 0.5000 0.0000  2 Ca 3.02
I: 0.5000 0.0000 0.0000  2 Ca 3.02

## Properties
As for the crystal system: tetragonal. The calculation puts the relative energy among the computed polymorphs at 0.535 eV/atom. For the raw formation energy, the calculation gives 541 meV/atom.



No. 10
An optimized crystal structure of CaBTeI2, computed with PBE.

abc: 5.1230 5.1230 5.2765
angles: 90.00 90.00 90.00
With the nearest neighbours (Å) after each atom.
Fractional positions:
Ca: 0.0000 0.0000 0.0000  4 Te 3.62, 8 I 3.68
B: 0.5000 0.5000 0.5000  4 I 2.56, 2 Te 2.64
Te: 0.5000 0.5000 0.0000  2 B 2.64
I: 0.0000 0.5000 0.5000  2 B 2.56
I: 0.5000 0.0000 0.5000  2 B 2.56

## Properties
As for the crystal system: tetragonal. The calculation puts the relative energy among the computed polymorphs at 0.000 eV/atom. For the raw formation energy, the calculation gives 5 meV/atom.



No. 11
An optimized crystal structure of CaBTe2I, computed with PBE.

abc: 5.9414 5.9414 6.0157
angles: 90.00 90.00 90.00
With the nearest neighbours (Å) after each atom.
Fractional positions:
Ca: 0.0000 0.0000 0.0000  4 Te 2.97, 2 I 3.01
B: 0.5000 0.5000 0.5000  4 I 4.20, 8 Te 4.23
Te: 0.0000 0.5000 0.0000  2 Ca 2.97
Te: 0.5000 0.0000 0.0000  2 Ca 2.97
I: 0.0000 0.0000 0.5000  2 Ca 3.01

## Properties
As for the crystal system: tetragonal. The calculation puts the relative energy among the computed polymorphs at 0.814 eV/atom. For the raw formation energy, the calculation gives 819 meV/atom.



No. 12
An optimized crystal structure of CaInB3, computed with PBE.

abc: 4.5376 4.5376 4.5376
angles: 90.00 90.00 90.00
With the nearest neighbours (Å) after each atom.
Fractional positions:
Ca: 0.0000 0.0000 0.0000  12 B 3.21
In: 0.5000 0.5000 0.5000  6 B 2.27
B: 0.0000 0.5000 0.5000  2 In 2.27
B: 0.5000 0.0000 0.5000  2 In 2.27
B: 0.5000 0.5000 0.0000  2 In 2.27

## Properties
As for the crystal system: cubic. The calculation puts the relative energy among the computed polymorphs at 0.000 eV/atom.



No. 13
An optimized crystal structure of CaInB3, computed with PBE.

abc: 4.8139 4.8139 4.8139
angles: 90.00 90.00 90.00
With the nearest neighbours (Å) after each atom.
Fractional positions:
Ca: 0.0000 0.0000 0.0000  6 B 2.41
In: 0.5000 0.5000 0.5000  12 B 3.40
B: 0.0000 0.0000 0.5000  2 Ca 2.41
B: 0.0000 0.5000 0.0000  2 Ca 2.41
B: 0.5000 0.0000 0.0000  2 Ca 2.41

## Properties
As for the crystal system: cubic. The calculation puts the relative energy among the computed polymorphs at 0.769 eV/atom.



No. 14
An optimized crystal structure of CaIn2B, computed with PBE.

abc: 6.3189 6.3189 6.3189
angles: 101.29 101.29 127.48
With the nearest neighbours (Å) after each atom.
Fractional positions:
Ca: 0.0000 0.0000 0.0000  2 B 2.80
Ca: 0.7500 0.2500 0.5000  2 B 2.80
In: 0.2200 0.6250 0.0950  2 B 2.46
In: 0.3750 0.4700 0.5950  2 B 2.46
In: 0.5300 0.1250 0.9050  2 B 2.46
In: 0.8750 0.7800 0.4050  2 B 2.46
B: 0.2500 0.7500 0.5000  4 In 2.46
B: 0.5000 0.5000 0.0000  4 In 2.46

## Properties
As for the crystal system: tetragonal. The total energy comes out at -3.326 eV/atom.